1.
## Th2Cu3Ge (GGA-PBE)

Data for a geometry-optimized Th2Cu3Ge structure.

```
12
Lattice="-1.535 2.970 -4.654 -5.433 -1.761 -0.465 1.261 5.099 6.932" Properties=species:S:1:pos:R:3 pbc="T T T"
Th -1.879 4.337 -0.141
Th -2.460 1.847 -3.660
Th -3.828 1.971 1.954
Th -4.508 -0.638 -1.459
Cu -5.584 1.850 -3.106
Cu -3.585 5.058 2.377
Cu -0.124 4.458 4.919
Cu -2.122 1.249 -0.564
Cu -0.738 1.894 1.452
Cu -4.969 4.414 0.361
Ge -4.219 2.489 -1.115
Ge -1.488 3.819 2.928
```

Results
Calculated total energy (eV/atom): -5.676
Formation enthalpy at 0 K (eV per atom): -0.385

2.
## AlTl2As (GGA-PBE)

Data for a geometry-optimized AlTl2As structure.

```
4
Lattice="-0.005 5.203 1.971 -1.621 -0.466 5.302 4.040 -2.727 -2.681" Properties=species:S:1:pos:R:3 pbc="T T T"
Tl 0.000 0.000 0.000
Tl 0.803 -0.412 3.128
As 1.611 2.422 1.463
Al -0.813 2.369 3.636
```

Results
Calculated total energy (eV/atom): -3.021
Formation enthalpy at 0 K (eV per atom): 0.260

3.
## CuTcRh (GGA-PBE)

Data for a geometry-optimized CuTcRh structure.

```
3
Lattice="-3.344 -3.045 0.909 0.021 -4.101 -2.113 2.339 2.902 2.720" Properties=species:S:1:pos:R:3 pbc="T T T"
Cu -0.003 -0.006 -0.001
Rh -1.100 -2.365 -0.399
Tc -2.221 -4.776 -0.805
```

Results
Calculated total energy (eV/atom): -7.231
Formation enthalpy at 0 K (eV per atom): 0.040

4.
## Pm2SnPd3Au12 (GGA-PBE)

Data for a geometry-optimized Pm2SnPd3Au12 structure.

```
18
Lattice="-6.991 1.347 4.064 0.426 -1.158 8.104 -0.130 6.857 4.490" Properties=species:S:1:pos:R:3 pbc="T T T"
Pm -4.059 4.272 10.100
Pm -2.636 2.774 6.558
Sn 0.000 0.000 0.000
Pd -3.496 0.674 2.032
Pd 0.213 -0.579 4.052
Pd -0.065 3.429 2.245
Au -2.554 6.081 8.458
Au -5.642 2.820 12.106
Au -2.459 5.377 12.304
Au -6.018 3.299 8.243
Au -5.900 6.539 10.430
Au -2.273 2.034 10.283
Au -4.141 0.965 8.200
Au -1.052 4.226 4.552
Au -4.236 1.669 4.354
Au -0.676 3.747 8.415
Au -0.794 0.507 6.229
Au -4.422 5.012 6.375
```

Results
Calculated total energy (eV/atom): -3.760
Formation enthalpy at 0 K (eV per atom): 0.041

5.
## CaPCl2 (GGA-PBE)

Data for a geometry-optimized CaPCl2 structure.

```
4
Lattice="5.114 0.000 0.000 2.557 4.429 0.000 2.557 1.476 4.176" Properties=species:S:1:pos:R:3 pbc="T T T"
Ca 5.114 2.953 2.088
Cl 0.000 0.000 0.000
Cl 2.557 1.476 1.044
P 7.671 4.429 3.132
```

Results
Formation energy (no corrections) (eV/atom): -0.496
Calculated total energy (eV/atom): -3.272

6.
## YEr4Cd (GGA-PBE)

Data for a geometry-optimized YEr4Cd structure.

```
12
Lattice="5.969 0.521 0.561 2.511 5.440 0.561 1.892 1.330 11.430" Properties=species:S:1:pos:R:3 pbc="T T T"
Y 3.930 0.926 5.995
Y 1.255 2.720 0.281
Er 4.552 2.568 8.952
Er 3.618 4.423 6.196
Er 6.754 2.869 6.355
Er 3.011 2.749 3.237
Er 7.360 4.543 9.315
Er 5.931 6.049 12.070
Er 4.440 1.242 0.481
Er 5.820 4.723 3.600
Cd 6.144 1.278 3.418
Cd 4.228 6.014 9.133
```

Results
Calculated total energy (eV/atom): -4.290
Formation enthalpy at 0 K (eV per atom): -0.018

7.
## Zn2Co2Rh (GGA-PBE)

Data for a geometry-optimized Zn2Co2Rh structure.

```
10
Lattice="6.785 0.000 0.000 0.000 6.785 0.000 0.000 0.000 2.790" Properties=species:S:1:pos:R:3 pbc="T T T"
Co 1.141 4.533 1.395
Co 4.533 5.644 1.395
Co 5.644 2.252 1.395
Co 2.252 1.141 1.395
Zn 2.501 5.894 0.000
Zn 5.894 4.283 0.000
Zn 4.283 0.891 0.000
Zn 0.891 2.501 0.000
Rh 0.000 0.000 0.000
Rh 3.392 3.392 0.000
```

Results
Calculated total energy (eV/atom): -4.682
Formation enthalpy at 0 K (eV per atom): 0.140

8.
## Be2TlCl (GGA-PBE)

Data for a geometry-optimized Be2TlCl structure.

```
4
Lattice="-3.123 -2.218 -3.032 1.619 -2.673 0.289 -2.626 -1.189 3.575" Properties=species:S:1:pos:R:3 pbc="T T T"
Be 1.344 -2.388 0.362
Be -1.828 -2.482 -0.237
Tl -2.283 -4.413 1.644
Cl -0.248 -1.403 1.282
```

Results
Formation energy (no corrections) (eV/atom): 0.367
Calculated total energy (eV/atom): -2.550

9.
## AlVPtAu (GGA-PBE)

Data for a geometry-optimized AlVPtAu structure.

```
4
Lattice="4.460 0.000 0.000 2.230 3.862 0.000 2.230 1.287 3.641" Properties=species:S:1:pos:R:3 pbc="T T T"
Au 2.230 1.287 0.910
Al 4.460 2.575 1.821
Pt 6.690 3.862 2.731
V 0.000 0.000 0.000
```

Results
Calculated total energy (eV/atom): -5.912
Formation enthalpy at 0 K (eV per atom): -0.367

10.
## Ac5La3Ho2 (GGA-PBE)

Data for a geometry-optimized Ac5La3Ho2 structure.

```
20
Lattice="1.407 -4.105 -8.396 9.076 2.113 -1.730 -2.613 -6.809 9.319" Properties=species:S:1:pos:R:3 pbc="T T T"
Ac 5.047 -0.438 -2.709
Ac 2.823 -8.363 1.902
Ac 5.632 -2.211 3.575
Ac 1.790 -5.297 0.230
Ac 2.238 -6.590 -4.383
Ac 6.080 -3.504 -1.037
Ac 5.058 -7.609 -1.411
Ac 2.812 -1.191 0.604
Ac -0.275 -6.554 3.817
Ac 8.145 -2.246 -4.625
La 6.610 -5.113 5.158
La 1.260 -3.687 -5.965
La 4.630 -3.609 -4.550
La 3.240 -5.191 3.743
La 6.432 -0.140 0.699
La 1.438 -8.661 -1.506
Ho -0.764 -8.407 0.774
Ho 8.634 -0.393 -1.581
Ho 5.560 -5.797 1.655
Ho 2.310 -3.003 -2.462
```

Results
Calculated total energy (eV/atom): -4.275
Formation enthalpy at 0 K (eV per atom): 0.173

11.
## Sm5TlRu (GGA-PBE)

Data for a geometry-optimized Sm5TlRu structure.

```
14
Lattice="6.131 -0.278 -0.023 1.681 5.902 -0.023 2.897 2.086 11.397" Properties=species:S:1:pos:R:3 pbc="T T T"
Sm 6.996 3.465 1.390
Sm 3.812 4.347 6.351
Sm 6.954 6.579 7.088
Sm 2.406 6.423 2.826
Sm 6.825 6.517 10.698
Sm 3.884 1.193 0.652
Sm 8.303 1.287 8.525
Sm 3.755 1.131 4.262
Sm 6.897 3.362 4.999
Sm 3.712 4.245 9.961
Tl 4.232 3.886 2.826
Tl 6.476 3.824 8.525
Ru 0.000 0.000 0.000
Ru 1.449 1.043 5.699
```

Results
Calculated total energy (eV/atom): -5.153
Formation enthalpy at 0 K (eV per atom): -0.119

12.
## TbBe4Pd8 (GGA-PBE)

Data for a geometry-optimized TbBe4Pd8 structure.

```
13
Lattice="4.742 0.000 1.906 2.371 5.977 0.953 0.142 0.000 6.499" Properties=species:S:1:pos:R:3 pbc="T T T"
Tb 0.000 0.000 0.000
Be 0.071 0.000 3.249
Be 2.442 0.000 4.202
Be 1.185 2.989 0.476
Be 3.556 2.989 1.429
Pd 0.886 1.995 4.647
Pd 1.627 3.982 2.804
Pd 3.257 3.982 5.600
Pd 3.997 1.995 3.757
Pd 4.241 4.635 3.152
Pd 3.013 1.342 6.206
Pd 1.870 1.342 2.199
Pd 5.384 4.635 7.159
```

Results
Calculated total energy (eV/atom): -5.239
Formation enthalpy at 0 K (eV per atom): -0.541